Below is CaCd3Rh after structural relaxation, with properties calculated at the GGA-PBE level.

```
data_CaCd3Rh
_chemical_formula_sum 'Ca4 Cd12 Rh4'
_space_group_name_H-M_alt 'C 1 2/m 1'
_space_group_IT_number 12
_space_group_name_Hall '-C 2y'
_cell_length_a 12.849
_cell_length_b 5.962
_cell_length_c 7.776
_cell_angle_alpha 90.00
_cell_angle_beta 127.11
_cell_angle_gamma 90.00
loop_
_atom_site_label
_atom_site_type_symbol
_atom_site_fract_x
_atom_site_fract_y
_atom_site_fract_z
_atom_site_occupancy
Ca1 Ca 0.000 0.000 0.000 1
Ca2 Ca 0.000 0.000 0.500 1
Cd1 Cd 0.000 0.500 0.186 1
Cd2 Cd 0.250 0.250 0.000 1
Cd3 Cd 0.250 0.250 0.500 1
Rh1 Rh 0.132 0.500 0.632 1
```

Size of the total moment ... 0.00 μB per cell
Formation energy ... -0.234 eV/atom
Mass density ... 6.71 g/cm³
Energy relative to the lowest polymorph listed for this composition ... 0.0 meV/atom